# 1
Crystalline HfNb2B at its relaxed geometry, computed with GGA-PBEsol.

* size of the total moment: 0.000 μB/atom
* energy of formation: 0.1559 eV per atom
* E above lowest polymorph: 0.000 eV per atom
* final energy: -9.6347 eV per atom

Unit cell a=5.7346 b=5.7346 c=5.7346 alpha=100.11 beta=100.11 gamma=130.45
Element x y z (fractional)
Hf (0.0000, 0.0000, 0.0000)
Hf (0.7500, 0.2500, 0.5000)
Nb (0.1990, 0.6250, 0.0740)
Nb (0.3750, 0.4490, 0.5740)
Nb (0.5510, 0.1250, 0.9260)
Nb (0.8750, 0.8010, 0.4260)
B (0.2500, 0.7500, 0.5000)
B (0.5000, 0.5000, 0.0000)



# 2
Crystalline HfNb2B at its relaxed geometry, computed with GGA-PBEsol.

* size of the total moment: 0.000 μB/atom
* energy of formation: 0.5459 eV per atom
* E above lowest polymorph: 0.390 eV per atom
* final energy: -9.2447 eV per atom

Unit cell a=4.4338 b=4.4338 c=4.4338 alpha=60.00 beta=60.00 gamma=60.00
Element x y z (fractional)
Hf (0.0000, 0.0000, 0.0000)
Nb (0.2500, 0.2500, 0.2500)
Nb (0.7500, 0.7500, 0.7500)
B (0.5000, 0.5000, 0.5000)



# 3
Crystalline HfNb8B12 at its relaxed geometry, computed with GGA-PBEsol.

* size of the total moment: 0.000 μB/atom
* energy of formation: -0.8662 eV per atom
* final energy: -9.4982 eV per atom

Unit cell a=21.2486 b=21.2486 c=21.2486 alpha=171.52 beta=171.06 gamma=12.34
Element x y z (fractional)
Hf (0.0000, 0.0000, 0.0000)
Nb (0.0623, 0.5623, 0.5000)
Nb (0.2716, 0.7716, 0.5000)
Nb (0.3331, 0.3331, 0.0000)
Nb (0.3947, 0.8947, 0.5000)
Nb (0.6053, 0.1053, 0.5000)
Nb (0.6669, 0.6669, 0.0000)
Nb (0.7284, 0.2284, 0.5000)
Nb (0.9377, 0.4377, 0.5000)
B (0.1229, 0.6229, 0.5000)
B (0.1455, 0.1455, 0.0000)
B (0.1883, 0.1883, 0.0000)
B (0.2109, 0.7109, 0.5000)
B (0.4555, 0.9555, 0.5000)
B (0.4784, 0.4784, 0.0000)
B (0.5216, 0.5216, 0.0000)
B (0.5445, 0.0445, 0.5000)
B (0.7891, 0.2891, 0.5000)
B (0.8117, 0.8117, 0.0000)
B (0.8545, 0.8545, 0.0000)
B (0.8771, 0.3771, 0.5000)



# 4
Crystalline HfNbB4 at its relaxed geometry, computed with GGA-PBEsol.

* size of the total moment: 0.000 μB/atom
* energy of formation: -0.9458 eV per atom
* final energy: -9.1775 eV per atom

Unit cell a=4.5883 b=4.5883 c=4.5883 alpha=140.25 beta=108.08 gamma=85.46
Element x y z (fractional)
Hf (0.0000, 0.0000, 0.0000)
Nb (0.5000, 0.5000, 0.0000)
B (0.0838, 0.7499, 0.3339)
B (0.4160, 0.7499, 0.6661)
B (0.5840, 0.2501, 0.3339)
B (0.9162, 0.2501, 0.6661)



# 5
Crystalline HfNb2BSe at its relaxed geometry, computed with GGA-PBEsol.

* size of the total moment: 0.000 μB/atom
* uncorrected formation energy: 2172 meV/atom
* final energy: -6.4306 eV per atom

Unit cell a=4.9293 b=4.9293 c=4.7897 alpha=90.00 beta=90.00 gamma=90.00
Element x y z (fractional)
Hf (0.0000, 0.0000, 0.0000)
Nb (0.0000, 0.5000, 0.0000)
Nb (0.5000, 0.0000, 0.0000)
B (0.5000, 0.5000, 0.5000)
Se (0.0000, 0.0000, 0.5000)



# 6
Crystalline Hf2Ni21B6 at its relaxed geometry, computed with GGA-PBEsol.

* size of the total moment: 0.000 μB/atom
* energy of formation: -0.4394 eV per atom
* final energy: -7.0743 eV per atom

Unit cell a=7.3841 b=7.3841 c=7.3841 alpha=60.00 beta=60.00 gamma=60.00
Element x y z (fractional)
Hf (0.2500, 0.2500, 0.2500)
Hf (0.7500, 0.7500, 0.7500)
Ni (0.0000, 0.0000, 0.0000)
Ni (0.0000, 0.0000, 0.3395)
Ni (0.0000, 0.0000, 0.6605)
Ni (0.0000, 0.3395, 0.0000)
Ni (0.0000, 0.3395, 0.6605)
Ni (0.0000, 0.6605, 0.0000)
Ni (0.0000, 0.6605, 0.3395)
Ni (0.1569, 0.6144, 0.6144)
Ni (0.3395, 0.0000, 0.0000)
Ni (0.3395, 0.0000, 0.6605)
Ni (0.3395, 0.6605, 0.0000)
Ni (0.3856, 0.3856, 0.3856)
Ni (0.3856, 0.3856, 0.8431)
Ni (0.3856, 0.8431, 0.3856)
Ni (0.6144, 0.1569, 0.6144)
Ni (0.6144, 0.6144, 0.1569)
Ni (0.6144, 0.6144, 0.6144)
Ni (0.6605, 0.0000, 0.0000)
Ni (0.6605, 0.0000, 0.3395)
Ni (0.6605, 0.3395, 0.0000)
Ni (0.8431, 0.3856, 0.3856)
B (0.2687, 0.2687, 0.7313)
B (0.2687, 0.7313, 0.2687)
B (0.2687, 0.7313, 0.7313)
B (0.7313, 0.2687, 0.2687)
B (0.7313, 0.2687, 0.7313)
B (0.7313, 0.7313, 0.2687)



# 7
Crystalline Hf3Ni20B6 at its relaxed geometry, computed with GGA-PBEsol.

* size of the total moment: 0.000 μB/atom
* energy of formation: -0.5062 eV per atom
* final energy: -7.2910 eV per atom

Unit cell a=7.4464 b=7.4464 c=7.4464 alpha=60.00 beta=60.00 gamma=60.00
Element x y z (fractional)
Hf (0.0000, 0.0000, 0.0000)
Hf (0.2500, 0.2500, 0.2500)
Hf (0.7500, 0.7500, 0.7500)
Ni (0.0000, 0.0000, 0.3446)
Ni (0.0000, 0.0000, 0.6554)
Ni (0.0000, 0.3446, 0.0000)
Ni (0.0000, 0.3446, 0.6554)
Ni (0.0000, 0.6554, 0.0000)
Ni (0.0000, 0.6554, 0.3446)
Ni (0.1574, 0.6142, 0.6142)
Ni (0.3446, 0.0000, 0.0000)
Ni (0.3446, 0.0000, 0.6554)
Ni (0.3446, 0.6554, 0.0000)
Ni (0.3858, 0.3858, 0.3858)
Ni (0.3858, 0.3858, 0.8426)
Ni (0.3858, 0.8426, 0.3858)
Ni (0.6142, 0.1574, 0.6142)
Ni (0.6142, 0.6142, 0.1574)
Ni (0.6142, 0.6142, 0.6142)
Ni (0.6554, 0.0000, 0.0000)
Ni (0.6554, 0.0000, 0.3446)
Ni (0.6554, 0.3446, 0.0000)
Ni (0.8426, 0.3858, 0.3858)
B (0.2671, 0.2671, 0.7329)
B (0.2671, 0.7329, 0.2671)
B (0.2671, 0.7329, 0.7329)
B (0.7329, 0.2671, 0.2671)
B (0.7329, 0.2671, 0.7329)
B (0.7329, 0.7329, 0.2671)



# 8
Crystalline HfNi5B2O10 at its relaxed geometry, computed with GGA-PBEsol.

* size of the total moment: 0.545 μB/atom
* uncorrected formation energy: -1560 meV/atom
* final energy: -7.5501 eV per atom

Unit cell a=9.1853 b=6.0316 c=12.2653 alpha=90.00 beta=90.00 gamma=90.00
Element x y z (fractional)
Hf (0.2415, 0.2500, 0.1140)
Hf (0.2585, 0.7500, 0.6140)
Hf (0.7415, 0.2500, 0.3860)
Hf (0.7585, 0.7500, 0.8860)
Ni (0.0000, 0.0000, 0.0000)
Ni (0.0004, 0.0040, 0.7175)
Ni (0.0004, 0.4960, 0.7175)
Ni (0.0000, 0.5000, 0.0000)
Ni (0.9996, 0.5040, 0.2825)
Ni (0.9996, 0.9960, 0.2825)
Ni (0.0033, 0.2500, 0.5030)
Ni (0.2369, 0.7500, 0.1135)
Ni (0.2631, 0.2500, 0.6135)
Ni (0.4967, 0.7500, 0.0030)
Ni (0.5000, 0.0000, 0.5000)
Ni (0.5004, 0.0040, 0.7825)
Ni (0.5004, 0.4960, 0.7825)
Ni (0.5000, 0.5000, 0.5000)
Ni (0.4996, 0.5040, 0.2175)
Ni (0.4996, 0.9960, 0.2175)
Ni (0.5033, 0.2500, 0.9970)
Ni (0.7369, 0.7500, 0.3865)
Ni (0.7631, 0.2500, 0.8865)
Ni (0.9967, 0.7500, 0.4970)
B (0.2242, 0.7500, 0.8656)
B (0.2276, 0.2500, 0.8544)
B (0.2724, 0.7500, 0.3544)
B (0.2758, 0.2500, 0.3656)
B (0.7242, 0.7500, 0.6344)
B (0.7276, 0.2500, 0.6456)
B (0.7724, 0.7500, 0.1456)
B (0.7758, 0.2500, 0.1344)
O (0.1012, 0.5005, 0.1449)
O (0.1012, 0.9995, 0.1449)
O (0.1091, 0.5014, 0.5754)
O (0.1091, 0.9986, 0.5754)
O (0.1218, 0.7500, 0.3562)
O (0.1256, 0.2500, 0.3617)
O (0.1460, 0.7500, 0.9618)
O (0.1496, 0.7500, 0.7662)
O (0.1517, 0.2500, 0.7577)
O (0.1530, 0.2500, 0.9539)
O (0.3470, 0.7500, 0.4539)
O (0.3483, 0.7500, 0.2577)
O (0.3504, 0.2500, 0.2662)
O (0.3540, 0.2500, 0.4618)
O (0.3744, 0.7500, 0.8617)
O (0.3782, 0.2500, 0.8562)
O (0.3909, 0.0014, 0.0754)
O (0.3909, 0.4986, 0.0754)
O (0.3988, 0.0005, 0.6449)
O (0.3988, 0.4995, 0.6449)
O (0.6012, 0.5005, 0.3551)
O (0.6012, 0.9995, 0.3551)
O (0.6091, 0.5014, 0.9246)
O (0.6091, 0.9986, 0.9246)
O (0.6218, 0.7500, 0.1438)
O (0.6256, 0.2500, 0.1383)
O (0.6460, 0.7500, 0.5382)
O (0.6496, 0.7500, 0.7338)
O (0.6517, 0.2500, 0.7423)
O (0.6530, 0.2500, 0.5461)
O (0.8470, 0.7500, 0.0461)
O (0.8483, 0.7500, 0.2423)
O (0.8504, 0.2500, 0.2338)
O (0.8540, 0.2500, 0.0382)
O (0.8744, 0.7500, 0.6383)
O (0.8782, 0.2500, 0.6438)
O (0.8909, 0.0014, 0.4246)
O (0.8909, 0.4986, 0.4246)
O (0.8988, 0.0005, 0.8551)
O (0.8988, 0.4995, 0.8551)



# 9
Crystalline Y2HfBO at its relaxed geometry, computed with GGA-PBEsol.

* size of the total moment: 0.000 μB/atom
* uncorrected formation energy: 439 meV/atom
* final energy: -6.8433 eV per atom

Unit cell a=5.6297 b=5.6297 c=3.8606 alpha=90.00 beta=90.00 gamma=90.00
Element x y z (fractional)
Y (0.0000, 0.5000, 0.0000)
Y (0.5000, 0.0000, 0.0000)
Hf (0.0000, 0.0000, 0.0000)
B (0.5000, 0.5000, 0.5000)
O (0.0000, 0.0000, 0.5000)



# 10
Crystalline Hf2B2Os at its relaxed geometry, computed with GGA-PBEsol.

* size of the total moment: 0.000 μB/atom
* energy of formation: -0.8883 eV per atom
* final energy: -10.3393 eV per atom

Unit cell a=6.0844 b=6.0844 c=3.3851 alpha=90.00 beta=90.00 gamma=90.00
Element x y z (fractional)
Hf (0.1788, 0.3212, 0.0000)
Hf (0.3212, 0.8212, 0.0000)
Hf (0.6788, 0.1788, 0.0000)
Hf (0.8212, 0.6788, 0.0000)
B (0.1093, 0.6093, 0.5000)
B (0.3907, 0.1093, 0.5000)
B (0.6093, 0.8907, 0.5000)
B (0.8907, 0.3907, 0.5000)
Os (0.0000, 0.0000, 0.5000)
Os (0.5000, 0.5000, 0.5000)



# 11
Crystalline Hf3BOs at its relaxed geometry, computed with GGA-PBEsol.

* size of the total moment: 0.000 μB/atom
* energy of formation: 1.2885 eV per atom
* final energy: -8.8598 eV per atom

Unit cell a=4.9078 b=4.9078 c=4.9078 alpha=90.00 beta=90.00 gamma=90.00
Element x y z (fractional)
Hf (0.0000, 0.0000, 0.5000)
Hf (0.0000, 0.5000, 0.0000)
Hf (0.5000, 0.0000, 0.0000)
B (0.5000, 0.5000, 0.5000)
Os (0.0000, 0.0000, 0.0000)



# 12
Crystalline HfBOsRu2 at its relaxed geometry, computed with GGA-PBEsol.

* size of the total moment: 0.552 μB/atom
* energy of formation: 2.9448 eV per atom
* final energy: -7.0712 eV per atom

Unit cell a=4.6366 b=4.6366 c=4.7746 alpha=90.00 beta=90.00 gamma=90.00
Element x y z (fractional)
Hf (0.0000, 0.0000, 0.0000)
B (0.5000, 0.5000, 0.5000)
Os (0.0000, 0.0000, 0.5000)
Ru (0.0000, 0.5000, 0.0000)
Ru (0.5000, 0.0000, 0.0000)



# 13
Crystalline HfB2PRh at its relaxed geometry, computed with GGA-PBEsol.

* size of the total moment: 0.000 μB/atom
* energy of formation: 1.6435 eV per atom
* final energy: -6.0497 eV per atom

Unit cell a=4.2180 b=4.2180 c=4.7661 alpha=90.00 beta=90.00 gamma=90.00
Element x y z (fractional)
Hf (0.0000, 0.0000, 0.0000)
B (0.0000, 0.5000, 0.0000)
B (0.5000, 0.0000, 0.0000)
P (0.0000, 0.0000, 0.5000)
Rh (0.5000, 0.5000, 0.5000)



# 14
Crystalline HfB2Pd at its relaxed geometry, computed with GGA-PBEsol.

* size of the total moment: 0.000 μB/atom
* energy of formation: 0.0401 eV per atom
* final energy: -7.5836 eV per atom

Unit cell a=7.7581 b=7.7581 c=7.7581 alpha=151.58 beta=151.58 gamma=40.62
Element x y z (fractional)
Hf (0.3750, 0.6250, 0.7500)
Hf (0.6250, 0.3750, 0.2500)
B (0.0000, 0.0000, 0.0000)
B (0.0000, 0.0000, 0.5000)
B (0.0000, 0.5000, 0.0000)
B (0.5000, 0.0000, 0.5000)
Pd (0.1250, 0.8750, 0.2500)
Pd (0.8750, 0.1250, 0.7500)



# 15
Crystalline Hf3BPd at its relaxed geometry, computed with GGA-PBEsol.

* size of the total moment: 0.000 μB/atom
* energy of formation: 1.2754 eV per atom
* final energy: -7.6214 eV per atom

Unit cell a=4.8751 b=4.8751 c=4.8751 alpha=90.00 beta=90.00 gamma=90.00
Element x y z (fractional)
Hf (0.0000, 0.0000, 0.5000)
Hf (0.0000, 0.5000, 0.0000)
Hf (0.5000, 0.0000, 0.0000)
B (0.5000, 0.5000, 0.5000)
Pd (0.0000, 0.0000, 0.0000)



# 16
Crystalline HfBPd2 at its relaxed geometry, computed with GGA-PBEsol.

* size of the total moment: 0.000 μB/atom
* energy of formation: 0.1231 eV per atom
* final energy: -7.2362 eV per atom

Unit cell a=7.0396 b=7.0396 c=7.0396 alpha=140.63 beta=140.63 gamma=56.90
Element x y z (fractional)
Hf (0.0000, 0.0000, 0.0000)
Hf (0.7500, 0.2500, 0.5000)
B (0.2500, 0.7500, 0.5000)
B (0.5000, 0.5000, 0.0000)
Pd (0.2340, 0.6250, 0.1090)
Pd (0.3750, 0.4840, 0.6090)
Pd (0.5160, 0.1250, 0.8910)
Pd (0.8750, 0.7660, 0.3910)



# 17
Crystalline HfReB3 at its relaxed geometry, computed with GGA-PBEsol.

* size of the total moment: 0.253 μB/atom
* energy of formation: 2.2327 eV per atom
* final energy: -6.7441 eV per atom

Unit cell a=4.0497 b=4.0497 c=4.0497 alpha=90.00 beta=90.00 gamma=90.00
Element x y z (fractional)
Hf (0.0000, 0.0000, 0.0000)
Re (0.5000, 0.5000, 0.5000)
B (0.0000, 0.0000, 0.5000)
B (0.0000, 0.5000, 0.0000)
B (0.5000, 0.0000, 0.0000)



# 18
Crystalline Hf9Re4B at its relaxed geometry, computed with GGA-PBEsol.

* size of the total moment: 0.000 μB/atom
* energy of formation: -0.3458 eV per atom
* final energy: -11.4081 eV per atom

Unit cell a=8.3505 b=8.3505 c=8.4697 alpha=90.00 beta=90.00 gamma=120.00
Element x y z (fractional)
Hf (0.0802, 0.5401, 0.2500)
Hf (0.2011, 0.4023, 0.5552)
Hf (0.2011, 0.4023, 0.9448)
Hf (0.2011, 0.7989, 0.5552)
Hf (0.2011, 0.7989, 0.9448)
Hf (0.4023, 0.2011, 0.0552)
Hf (0.4023, 0.2011, 0.4448)
Hf (0.4599, 0.5401, 0.2500)
Hf (0.4599, 0.9198, 0.2500)
Hf (0.5401, 0.0802, 0.7500)
Hf (0.5401, 0.4599, 0.7500)
Hf (0.5977, 0.7989, 0.5552)
Hf (0.5977, 0.7989, 0.9448)
Hf (0.7989, 0.2011, 0.0552)
Hf (0.7989, 0.2011, 0.4448)
Hf (0.7989, 0.5977, 0.0552)
Hf (0.7989, 0.5977, 0.4448)
Hf (0.9198, 0.4599, 0.7500)
Re (0.0000, 0.0000, 0.0000)
Re (0.0000, 0.0000, 0.5000)
Re (0.1105, 0.2210, 0.2500)
Re (0.1105, 0.8895, 0.2500)
Re (0.2210, 0.1105, 0.7500)
Re (0.7790, 0.8895, 0.2500)
Re (0.8895, 0.1105, 0.7500)
Re (0.8895, 0.7790, 0.7500)
B (0.3333, 0.6667, 0.7500)
B (0.6667, 0.3333, 0.2500)



# 19
Crystalline Hf3ReB at its relaxed geometry, computed with GGA-PBEsol.

* size of the total moment: 0.000 μB/atom
* energy of formation: 1.5308 eV per atom
* E above lowest polymorph: 1.444 eV per atom
* final energy: -8.8407 eV per atom

Unit cell a=4.9201 b=4.9201 c=4.9201 alpha=90.00 beta=90.00 gamma=90.00
Element x y z (fractional)
Hf (0.0000, 0.0000, 0.5000)
Hf (0.0000, 0.5000, 0.0000)
Hf (0.5000, 0.0000, 0.0000)
Re (0.0000, 0.0000, 0.0000)
B (0.5000, 0.5000, 0.5000)